[1]
## Zn3SnHg (PBE-GGA)

Data for a geometry-optimized Zn3SnHg structure.

Output
formation energy = 0.377 eV/atom
symmetry = No. 221
density of states at the Fermi level = 2.099 states/eV/cell
V = 152.0 Å³/f.u.
ΔE to the lowest computed polymorph = 0 meV per atom

a = 5.3367 Å, b = 5.3367 Å, c = 5.3367 Å
α = 90.00°, β = 90.00°, γ = 90.00°
Last column: nearest neighbours and their distance in Å.
Fractional positions:
Zn  0.0000  0.0000  0.5000  2 Sn 2.67
Zn  0.0000  0.5000  0.0000  2 Sn 2.67
Zn  0.5000  0.0000  0.0000  2 Sn 2.67
Sn  0.0000  0.0000  0.0000  6 Zn 2.67
Hg  0.5000  0.5000  0.5000  12 Zn 3.77


[2]
## Zn7Hg (PBE-GGA)

Data for a geometry-optimized Zn7Hg structure.

Output
formation energy = 0.092 eV/atom
symmetry = No. 225
density of states at the Fermi level = 3.998 states/eV/cell
V = 131.9 Å³/f.u.

a = 5.7137 Å, b = 5.7137 Å, c = 5.7137 Å
α = 60.00°, β = 60.00°, γ = 60.00°
Last column: nearest neighbours and their distance in Å.
Fractional positions:
Zn  0.0000  0.0000  0.0000  12 Zn 2.86
Zn  0.0000  0.0000  0.5000  2 Hg 2.86, 10 Zn 2.86
Zn  0.0000  0.5000  0.0000  2 Hg 2.86, 10 Zn 2.86
Zn  0.0000  0.5000  0.5000  2 Hg 2.86, 10 Zn 2.86
Zn  0.5000  0.0000  0.0000  2 Hg 2.86, 10 Zn 2.86
Zn  0.5000  0.0000  0.5000  2 Hg 2.86, 10 Zn 2.86
Zn  0.5000  0.5000  0.0000  2 Hg 2.86, 10 Zn 2.86
Hg  0.5000  0.5000  0.5000  12 Zn 2.86


[3]
## SrCa2Sb (PBE-GGA)

Data for a geometry-optimized SrCa2Sb structure.

Output
symmetry = No. 122
formation energy (no corrections) = -0.39 eV/atom
density of states at the Fermi level = 8.914 states/eV/cell
V = 172.0 Å³/f.u.

a = 7.8672 Å, b = 7.8672 Å, c = 7.8672 Å
α = 100.97°, β = 100.97°, γ = 128.27°
Last column: nearest neighbours and their distance in Å.
Fractional positions:
Sr  0.0000  0.0000  0.0000  2 Sb 3.43
Sr  0.7500  0.2500  0.5000  2 Sb 3.43
Ca  0.2088  0.6250  0.0838  2 Sb 3.13
Ca  0.3750  0.4588  0.5838  2 Sb 3.13
Ca  0.5412  0.1250  0.9162  2 Sb 3.13
Ca  0.8750  0.7912  0.4162  2 Sb 3.13
Sb  0.2500  0.7500  0.5000  4 Ca 3.13, 2 Sr 3.43
Sb  0.5000  0.5000  0.0000  4 Ca 3.13, 2 Sr 3.43


[4]
## YMg2InPd4 (PBE-GGA)

Data for a geometry-optimized YMg2InPd4 structure.

Output
formation energy = -0.723 eV/atom
symmetry = No. 166
density of states at the Fermi level = 3.618 states/eV/cell
V = 144.9 Å³/f.u.

a = 8.0949 Å, b = 8.0949 Å, c = 8.0949 Å
α = 33.63°, β = 33.63°, γ = 33.63°
Last column: nearest neighbours and their distance in Å.
Fractional positions:
Y  0.0000  0.0000  0.0000  8 Pd 2.89-2.91
Mg  0.2475  0.2475  0.2475  8 Pd 2.77-3.03
Mg  0.7525  0.7525  0.7525  8 Pd 2.77-3.03
In  0.5000  0.5000  0.5000  8 Pd 2.75-2.86
Pd  0.1265  0.1265  0.1265  4 Mg 2.77-2.86, 3 In 2.86, 1 Y 2.89
Pd  0.3800  0.3800  0.3800  1 In 2.75, 4 Mg 2.85-3.03, 3 Y 2.91
Pd  0.6200  0.6200  0.6200  1 In 2.75, 4 Mg 2.85-3.03, 3 Y 2.91
Pd  0.8735  0.8735  0.8735  4 Mg 2.77-2.86, 3 In 2.86, 1 Y 2.89


[5]
## NaPbAu (PBE-GGA)

Data for a geometry-optimized NaPbAu structure.

Output
formation energy = -0.188 eV/atom
symmetry = No. 14
density of states at the Fermi level = 4.195 states/eV/cell
V = 79.9 Å³/f.u.

a = 6.8459 Å, b = 6.6849 Å, c = 7.6700 Å
α = 90.00°, β = 114.39°, γ = 90.00°
Last column: nearest neighbours and their distance in Å.
Fractional positions:
Na  0.2348  0.1576  0.0965  4 Au 3.02-3.16, 1 Pb 3.35
Na  0.2348  0.3424  0.5965  4 Au 3.02-3.16, 1 Pb 3.35
Na  0.7652  0.6576  0.4035  4 Au 3.02-3.16, 1 Pb 3.35
Na  0.7652  0.8424  0.9035  4 Au 3.02-3.16, 1 Pb 3.35
Pb  0.3253  0.6758  0.9900  3 Au 2.84-2.99
Pb  0.3253  0.8242  0.4900  3 Au 2.84-2.99
Pb  0.6747  0.1758  0.5100  3 Au 2.84-2.99
Pb  0.6747  0.3242  0.0100  3 Au 2.84-2.99
Au  0.0615  0.5575  0.2008  3 Pb 2.84-2.99, 1 Au 2.94, 4 Na 3.02-3.16
Au  0.0615  0.9425  0.7008  3 Pb 2.84-2.99, 1 Au 2.94, 4 Na 3.02-3.16
Au  0.9385  0.0575  0.2992  3 Pb 2.84-2.99, 1 Au 2.94, 4 Na 3.02-3.16
Au  0.9385  0.4425  0.7992  3 Pb 2.84-2.99, 1 Au 2.94, 4 Na 3.02-3.16


[6]
## Tm3Sn2Ge (PBE-GGA)

Data for a geometry-optimized Tm3Sn2Ge structure.

Output
formation energy = -0.597 eV/atom
symmetry = No. 62
density of states at the Fermi level = 15.571 states/eV/cell
V = 154.7 Å³/f.u.

a = 12.3181 Å, b = 4.2835 Å, c = 11.7313 Å
α = 90.00°, β = 90.00°, γ = 90.00°
Last column: nearest neighbours and their distance in Å.
Fractional positions:
Tm  0.0519  0.2500  0.1189  5 Sn 3.04-3.26, 1 Ge 3.10
Tm  0.1165  0.7500  0.5475  3 Ge 2.97-3.11, 4 Sn 3.11-3.28
Tm  0.2462  0.2500  0.7781  2 Ge 2.89, 1 Sn 2.97
Tm  0.2538  0.7500  0.2781  2 Ge 2.89, 1 Sn 2.97
Tm  0.3835  0.2500  0.0475  3 Ge 2.97-3.11, 4 Sn 3.11-3.28
Tm  0.4481  0.7500  0.6189  5 Sn 3.04-3.26, 1 Ge 3.10
Tm  0.5519  0.2500  0.3811  5 Sn 3.04-3.26, 1 Ge 3.10
Tm  0.6165  0.7500  0.9525  3 Ge 2.97-3.11, 4 Sn 3.11-3.28
Tm  0.7462  0.2500  0.7219  2 Ge 2.89, 1 Sn 2.97
Tm  0.7538  0.7500  0.2219  2 Ge 2.89, 1 Sn 2.97
Tm  0.8835  0.2500  0.4525  3 Ge 2.97-3.11, 4 Sn 3.11-3.28
Tm  0.9481  0.7500  0.8811  5 Sn 3.04-3.26, 1 Ge 3.10
Sn  0.0143  0.2500  0.7076  2 Ge 2.89, 5 Tm 2.97-3.11
Sn  0.1864  0.7500  0.0019  1 Ge 2.79, 2 Tm 3.04
Sn  0.3136  0.2500  0.5019  1 Ge 2.79, 2 Tm 3.04
Sn  0.4857  0.7500  0.2076  2 Ge 2.89, 5 Tm 2.97-3.11
Sn  0.5143  0.2500  0.7924  2 Ge 2.89, 5 Tm 2.97-3.11
Sn  0.6864  0.7500  0.4981  1 Ge 2.79, 2 Tm 3.04
Sn  0.8136  0.2500  0.9981  1 Ge 2.79, 2 Tm 3.04
Sn  0.9857  0.7500  0.2924  2 Ge 2.89, 5 Tm 2.97-3.11
Ge  0.1243  0.2500  0.3720  3 Sn 2.79-2.89, 6 Tm 2.89-3.11
Ge  0.3757  0.7500  0.8720  3 Sn 2.79-2.89, 6 Tm 2.89-3.11
Ge  0.6243  0.2500  0.1280  3 Sn 2.79-2.89, 6 Tm 2.89-3.11
Ge  0.8757  0.7500  0.6280  3 Sn 2.79-2.89, 6 Tm 2.89-3.11


[7]
## BaSc2TlB (PBE-GGA)

Data for a geometry-optimized BaSc2TlB structure.

Output
formation energy = 0.980 eV/atom
symmetry = No. 123
density of states at the Fermi level = 6.833 states/eV/cell
V = 141.9 Å³/f.u.

a = 5.6867 Å, b = 5.6867 Å, c = 4.3878 Å
α = 90.00°, β = 90.00°, γ = 90.00°
Last column: nearest neighbours and their distance in Å.
Fractional positions:
Ba  0.0000  0.0000  0.0000  8 Sc 3.59, 4 B 4.02
Sc  0.0000  0.5000  0.5000  2 Tl 2.84
Sc  0.5000  0.0000  0.5000  2 Tl 2.84
Tl  0.5000  0.5000  0.5000  2 B 2.19
B  0.5000  0.5000  0.0000  2 Tl 2.19


[8]
## CaY2Tc (PBE-GGA)

Data for a geometry-optimized CaY2Tc structure.

Output
formation energy = 0.185 eV/atom
symmetry = No. 71
density of states at the Fermi level = 5.329 states/eV/cell
V = 112.2 Å³/f.u.
ΔE to the lowest computed polymorph = 173 meV per atom

a = 6.3570 Å, b = 6.3570 Å, c = 6.3570 Å
α = 147.16°, β = 125.45°, γ = 65.15°
Last column: nearest neighbours and their distance in Å.
Fractional positions:
Ca  0.0000  0.0000  0.0000  4 Tc 3.42, 8 Y 3.58-3.73, 2 Ca 3.59
Y  0.3051  0.8051  0.5000  2 Tc 2.75
Y  0.6949  0.1949  0.5000  2 Tc 2.75
Tc  0.5000  0.5000  0.0000  4 Y 2.75


[9]
## KBaHS (PBE-GGA)

Data for a geometry-optimized KBaHS structure.

Output
symmetry = No. 216
density of states at the Fermi level = 0.000 states/eV/cell
raw total energy = -3.629 eV/atom
V = 100.8 Å³/f.u.

a = 5.2234 Å, b = 5.2234 Å, c = 5.2234 Å
α = 60.00°, β = 60.00°, γ = 60.00°
Last column: nearest neighbours and their distance in Å.
Fractional positions:
K  0.0000  0.0000  0.0000  4 S 3.20, 4 H 3.20
Ba  0.5000  0.5000  0.5000  4 S 3.20, 4 H 3.20
H  0.2500  0.2500  0.2500  4 Ba 3.20, 4 K 3.20
S  0.7500  0.7500  0.7500  4 Ba 3.20, 4 K 3.20


[10]
## Cr2ReOs (PBE-GGA)

Data for a geometry-optimized Cr2ReOs structure.

Output
formation energy = 0.208 eV/atom
symmetry = No. 166
density of states at the Fermi level = 6.306 states/eV/cell
V = 54.0 Å³/f.u.

a = 8.8028 Å, b = 8.8028 Å, c = 8.8028 Å
α = 17.53°, β = 17.53°, γ = 17.53°
Last column: nearest neighbours and their distance in Å.
Fractional positions:
Cr  0.2492  0.2492  0.2492  3 Os 2.65, 3 Re 2.68, 6 Cr 2.68
Cr  0.7508  0.7508  0.7508  3 Os 2.65, 3 Re 2.68, 6 Cr 2.68
Re  0.0000  0.0000  0.0000  6 Cr 2.68, 6 Re 2.68
Os  0.5000  0.5000  0.5000  6 Cr 2.65, 6 Os 2.68


[11]
## CeSiOs (PBE-GGA)

Data for a geometry-optimized CeSiOs structure.

Output
symmetry = No. 166
formation energy (no corrections) = -0.26 eV/atom
density of states at the Fermi level = 5.999 states/eV/cell
V = 60.0 Å³/f.u.

a = 8.6735 Å, b = 8.6735 Å, c = 8.6735 Å
α = 27.16°, β = 27.16°, γ = 27.16°
Last column: nearest neighbours and their distance in Å.
Fractional positions:
Ce  0.1246  0.1246  0.1246  3 Si 2.93, 3 Os 3.14, 3 Ce 3.16
Ce  0.8754  0.8754  0.8754  3 Si 2.93, 3 Os 3.14, 3 Ce 3.16
Si  0.2783  0.2783  0.2783  4 Os 2.38-2.42
Si  0.7217  0.7217  0.7217  4 Os 2.38-2.42
Os  0.3750  0.3750  0.3750  4 Si 2.38-2.42
Os  0.6250  0.6250  0.6250  4 Si 2.38-2.42


[12]
## MnBIr (PBE-GGA)

Data for a geometry-optimized MnBIr structure.

Output
formation energy = -0.140 eV/atom
symmetry = No. 62
density of states at the Fermi level = 5.071 states/eV/cell
V = 35.2 Å³/f.u.

a = 9.1491 Å, b = 2.9142 Å, c = 5.2861 Å
α = 90.00°, β = 90.00°, γ = 90.00°
Last column: nearest neighbours and their distance in Å.
Fractional positions:
Mn  0.1921  0.2500  0.2226  2 B 2.23
Mn  0.3079  0.7500  0.7226  2 B 2.23
Mn  0.6921  0.2500  0.2774  2 B 2.23
Mn  0.8079  0.7500  0.7774  2 B 2.23
B  0.0728  0.7500  0.9797  2 B 1.99, 3 Ir 2.10-2.17
B  0.4272  0.2500  0.4797  2 B 1.99, 3 Ir 2.10-2.17
B  0.5728  0.7500  0.5203  2 B 1.99, 3 Ir 2.10-2.17
B  0.9272  0.2500  0.0203  2 B 1.99, 3 Ir 2.10-2.17
Ir  0.0699  0.2500  0.6927  3 B 2.10-2.17
Ir  0.4301  0.7500  0.1927  3 B 2.10-2.17
Ir  0.5699  0.2500  0.8073  3 B 2.10-2.17
Ir  0.9301  0.7500  0.3073  3 B 2.10-2.17